A plane-wave DFT calculation with GGA-PBE was carried out for a relaxed structure of NdB2Mo.

Structure (POSCAR):
```
NdB2Mo
1.0
3.410 0.000 0.000
1.705 2.953 0.000
1.705 0.984 5.983
Mo B Nd
1 2 1
Direct
0.000 0.000 0.000
0.730 0.730 0.811
0.270 0.270 0.189
0.500 0.500 0.500
```

Values from the calculation:
total energy = -0.5273 Ry/atom
V = 15.1 Å³/atom
DOS(E_F) = 0.6934 states/eV per atom
total moment = 0.0 μB per formula unit
energy of formation = 0.064 eV per atom